Entry from Alexandria: a geometry-optimized Na3Li3ZnCl8 structure (PBE).

- electronic total energy (eV/atom) = -3.371
- magnetization (μB per atom) = 0.00

Cell lengths 7.5252, 7.5285, 7.7623 Å; angles 119.01, 90.00, 119.99 degrees
Closest atoms and distances in Å follow each position.
Fractional coordinates of all 15 atoms:
Li 0.0000 0.5000 0.5000  6 Cl 2.62
Li 0.5000 0.5000 0.5000  6 Cl 2.62
Li 0.5000 0.0000 0.5000  6 Cl 2.62
Na 0.5000 0.5000 0.0000  6 Cl 2.79-2.80
Na 0.0000 0.5000 0.0000  6 Cl 2.79-2.80
Na 0.0000 0.0000 0.0000  6 Cl 2.79-2.80
Cl 0.2472 0.0151 0.2832  1 Zn 2.51, 2 Li 2.62, 2 Na 2.80
Cl 0.7427 0.4854 0.7277  3 Li 2.62, 3 Na 2.79
Cl 0.2319 0.4638 0.7166  1 Zn 2.51, 2 Li 2.62, 2 Na 2.80
Cl 0.7679 0.0151 0.2832  1 Zn 2.51, 2 Li 2.62, 2 Na 2.80
Cl 0.7681 0.5362 0.2834  1 Zn 2.51, 2 Li 2.62, 2 Na 2.80
Cl 0.2573 0.5146 0.2723  3 Li 2.62, 3 Na 2.79
Cl 0.2321 0.9849 0.7168  1 Zn 2.51, 2 Li 2.62, 2 Na 2.80
Cl 0.7528 0.9849 0.7168  1 Zn 2.51, 2 Li 2.62, 2 Na 2.80
Zn 0.0000 0.0000 0.5000  6 Cl 2.51

---

Entry from Alexandria: a geometry-optimized NaLiZnCl4 structure (PBE).

- electronic total energy (eV/atom) = -3.203
- magnetization (μB per atom) = 0.00

Cell lengths 7.7313, 7.6161, 7.6161 Å; angles 59.25, 59.50, 59.50 degrees
Closest atoms and distances in Å follow each position.
Fractional coordinates of all 14 atoms:
Cl 0.7427 0.7614 0.7531  1 Zn 2.32
Cl 0.7330 0.7577 0.2577  1 Zn 2.32
Cl 0.2670 0.2423 0.7423  1 Zn 2.32
Cl 0.7483 0.2423 0.7423  1 Zn 2.32
Cl 0.2573 0.2386 0.2469  1 Zn 2.32
Cl 0.2573 0.7469 0.7386  1 Zn 2.32
Cl 0.2517 0.7577 0.2577  1 Zn 2.32
Cl 0.7427 0.2531 0.2614  1 Zn 2.32
Zn 0.6205 0.6295 0.1295  4 Cl 2.32
Zn 0.3795 0.3705 0.8705  4 Cl 2.32
Li 0.0000 0.0000 0.5000  6 Cl 2.61-2.68
Li 0.5000 0.0000 0.5000  6 Cl 2.61-2.68
Na 0.0000 0.0000 0.0000  6 Cl 2.75-2.77
Na 0.0000 0.5000 0.5000  6 Cl 2.75-2.77

---

Entry from Alexandria: a geometry-optimized NaLiZn2Cl6 structure (PBE).

- electronic total energy (eV/atom) = -3.090
- magnetization (μB per atom) = 0.00

Cell lengths 6.9017, 8.8697, 8.8697 Å; angles 86.77, 77.17, 77.17 degrees
Closest atoms and distances in Å follow each position.
Fractional coordinates of all 20 atoms:
Zn 0.7347 0.2206 0.3877  4 Cl 2.27-2.34
Zn 0.2653 0.7794 0.6123  4 Cl 2.27-2.34
Zn 0.2347 0.3877 0.2206  4 Cl 2.27-2.34
Zn 0.7653 0.6123 0.7794  4 Cl 2.27-2.34
Li 0.2500 0.2239 0.7761  4 Cl 2.41-2.48
Li 0.7500 0.7761 0.2239  4 Cl 2.41-2.48
Cl 0.4116 0.8618 0.3767  1 Zn 2.27, 1 Li 2.41
Cl 0.3423 0.2013 0.0330  1 Zn 2.30, 1 Li 2.48
Cl 0.5231 0.4277 0.2961  2 Zn 2.31-2.34
Cl 0.0231 0.2961 0.4277  2 Zn 2.31-2.34
Cl 0.9116 0.3767 0.8618  1 Zn 2.27, 1 Li 2.41
Cl 0.0884 0.6233 0.1382  1 Zn 2.27, 1 Li 2.41
Cl 0.8423 0.0330 0.2013  1 Zn 2.30, 1 Li 2.48
Cl 0.5884 0.1382 0.6233  1 Zn 2.27, 1 Li 2.41
Cl 0.4769 0.5723 0.7039  2 Zn 2.31-2.34
Cl 0.9769 0.7039 0.5723  2 Zn 2.31-2.34
Cl 0.1577 0.9670 0.7987  1 Zn 2.30, 1 Li 2.48
Cl 0.6577 0.7987 0.9670  1 Zn 2.30, 1 Li 2.48
Na 0.7500 0.1067 0.8933  6 Cl 2.77-2.95
Na 0.2500 0.8933 0.1067  6 Cl 2.77-2.95

---

Entry from Alexandria: a geometry-optimized NaLiZrCl6 structure (PBE).

- electronic total energy (eV/atom) = -4.354
- magnetization (μB per atom) = 0.00

Cell lengths 6.5518, 6.5518, 12.4663 Å; angles 90.00, 90.00, 120.00 degrees
Closest atoms and distances in Å follow each position.
Fractional coordinates of all 18 atoms:
Na 0.0000 0.0000 0.5000  6 Cl 2.90
Na 0.0000 0.0000 0.0000  6 Cl 2.90
Cl 0.3648 0.0112 0.6357  1 Zr 2.49, 1 Li 2.59
Cl 0.3648 0.3535 0.8643  1 Zr 2.49, 1 Li 2.59
Cl 0.3535 0.3648 0.3643  1 Zr 2.49, 1 Li 2.59
Cl 0.9888 0.3535 0.6357  1 Zr 2.49, 1 Li 2.59
Cl 0.6352 0.9888 0.3643  1 Zr 2.49, 1 Li 2.59
Cl 0.3535 0.9888 0.1357  1 Zr 2.49, 1 Li 2.59
Cl 0.9888 0.6352 0.8643  1 Zr 2.49, 1 Li 2.59
Cl 0.0112 0.3648 0.1357  1 Zr 2.49, 1 Li 2.59
Cl 0.6352 0.6465 0.1357  1 Zr 2.49, 1 Li 2.59
Cl 0.6465 0.0112 0.8643  1 Zr 2.49, 1 Li 2.59
Cl 0.6465 0.6352 0.6357  1 Zr 2.49, 1 Li 2.59
Cl 0.0112 0.6465 0.3643  1 Zr 2.49, 1 Li 2.59
Li 0.3333 0.6667 0.7500  6 Cl 2.59
Li 0.6667 0.3333 0.2500  6 Cl 2.59
Zr 0.6667 0.3333 0.7500  6 Cl 2.49
Zr 0.3333 0.6667 0.2500  6 Cl 2.49

---

Entry from Alexandria: a geometry-optimized Li2NbCl structure (PBE).

- electronic total energy (eV/atom) = -3.783
- magnetization (μB per atom) = 0.00
- energy above the most stable polymorph in this dataset (eV/atom) = 0.000

Cell lengths 7.2957, 7.2957, 5.7178 Å; angles 50.36, 50.36, 90.00 degrees
Closest atoms and distances in Å follow each position.
Fractional coordinates of all 8 atoms:
Li 0.3750 0.4401 0.7500  2 Cl 2.35
Li 0.8750 0.8099 0.7500  2 Cl 2.35
Li 0.1901 0.6250 0.2500  2 Cl 2.35
Li 0.5599 0.1250 0.2500  2 Cl 2.35
Nb 0.7500 0.2500 0.5000  2 Cl 2.47
Nb 0.0000 0.0000 0.0000  2 Cl 2.47
Cl 0.2500 0.7500 0.5000  4 Li 2.35, 2 Nb 2.47
Cl 0.5000 0.5000 0.0000  4 Li 2.35, 2 Nb 2.47

---

Entry from Alexandria: a geometry-optimized Li2NbCl structure (PBE).

- electronic total energy (eV/atom) = -3.274
- magnetization (μB per atom) = 1.23
- energy above the most stable polymorph in this dataset (eV/atom) = 0.509

Cell lengths 4.9557, 4.9557, 4.9557 Å; angles 60.00, 60.00, 60.00 degrees
Closest atoms and distances in Å follow each position.
Fractional coordinates of all 4 atoms:
Li 0.2500 0.2500 0.2500  4 Cl 3.03, 4 Nb 3.03
Li 0.7500 0.7500 0.7500  4 Cl 3.03, 4 Nb 3.03
Nb 0.5000 0.5000 0.5000  8 Li 3.03
Cl 0.0000 0.0000 0.0000  8 Li 3.03

---

Entry from Alexandria: a geometry-optimized LiNb3Cl8 structure (PBE).

- electronic total energy (eV/atom) = -5.266
- magnetization (μB per atom) = 0.00

Cell lengths 9.3768, 9.3768, 13.6466 Å; angles 90.00, 90.00, 91.82 degrees
Closest atoms and distances in Å follow each position.
Fractional coordinates of all 48 atoms:
Cl 0.3651 0.3651 0.5000  2 Li 2.38
Cl 0.4598 0.5402 0.7486  2 Nb 2.48-2.49, 1 Li 2.74
Cl 0.3324 0.0408 0.3931  2 Nb 2.46-2.47
Cl 0.2542 0.7458 0.5396  2 Nb 2.48-2.49
Cl 0.9592 0.6676 0.3931  2 Nb 2.46-2.47
Cl 0.4592 0.1676 0.1069  2 Nb 2.46-2.47
Cl 0.2050 0.4224 0.1429  2 Nb 2.46
Cl 0.0776 0.2950 0.3571  2 Nb 2.46
Cl 0.2944 0.7056 0.2937  1 Li 2.35
Cl 0.9598 0.0402 0.7514  2 Nb 2.48-2.49, 1 Li 2.74
Cl 0.5408 0.8324 0.8931  2 Nb 2.46-2.47
Cl 0.6349 0.6349 0.5000  2 Li 2.38
Cl 0.6676 0.9592 0.6069  2 Nb 2.46-2.47
Cl 0.2056 0.7944 0.7937  1 Li 2.35
Cl 0.7050 0.9224 0.3571  2 Nb 2.46
Cl 0.4224 0.2050 0.8571  2 Nb 2.46
Cl 0.0408 0.3324 0.6069  2 Nb 2.46-2.47
Cl 0.5776 0.7950 0.1429  2 Nb 2.46
Cl 0.8324 0.5408 0.1069  2 Nb 2.46-2.47
Cl 0.7056 0.2944 0.7063  1 Li 2.35
Cl 0.7944 0.2056 0.2063  1 Li 2.35
Cl 0.1349 0.1349 0.0000  2 Li 2.38
Cl 0.2950 0.0776 0.6429  2 Nb 2.46
Cl 0.5402 0.4598 0.2514  2 Nb 2.48-2.49, 1 Li 2.74
Cl 0.8651 0.8651 0.0000  2 Li 2.38
Cl 0.7458 0.2542 0.4604  2 Nb 2.48-2.49
Cl 0.1676 0.4592 0.8931  2 Nb 2.46-2.47
Cl 0.7950 0.5776 0.8571  2 Nb 2.46
Cl 0.2458 0.7542 0.0396  2 Nb 2.48-2.49
Cl 0.9224 0.7050 0.6429  2 Nb 2.46
Cl 0.0402 0.9598 0.2486  2 Nb 2.48-2.49, 1 Li 2.74
Cl 0.7542 0.2458 0.9604  2 Nb 2.48-2.49
Nb 0.5903 0.4097 0.8779  4 Cl 2.46-2.49
Nb 0.1595 0.1595 0.5000  5 Cl 2.46-2.68
Nb 0.9097 0.0903 0.3779  4 Cl 2.46-2.49
Nb 0.0903 0.9097 0.6221  4 Cl 2.46-2.49
Nb 0.6595 0.6595 0.0000  5 Cl 2.46-2.68
Nb 0.4097 0.5903 0.1221  4 Cl 2.46-2.49
Nb 0.8760 0.1240 0.5895  4 Cl 2.46-2.49
Nb 0.8405 0.8405 0.5000  5 Cl 2.46-2.68
Nb 0.6240 0.3760 0.0895  4 Cl 2.46-2.49
Nb 0.1240 0.8760 0.4105  4 Cl 2.46-2.49
Nb 0.3405 0.3405 0.0000  5 Cl 2.46-2.68
Nb 0.3760 0.6240 0.9105  4 Cl 2.46-2.49
Li 0.9197 0.0803 0.0867  3 Cl 2.35-2.38
Li 0.5803 0.4197 0.5867  3 Cl 2.35-2.38
Li 0.4197 0.5803 0.4133  3 Cl 2.35-2.38
Li 0.0803 0.9197 0.9133  3 Cl 2.35-2.38

---

Entry from Alexandria: a geometry-optimized LiNbCl4 structure (PBE).

- electronic total energy (eV/atom) = -4.410
- magnetization (μB per atom) = 0.33
- energy above the most stable polymorph in this dataset (eV/atom) = 0.210

Cell lengths 6.6575, 6.6178, 8.5829 Å; angles 90.00, 90.00, 90.00 degrees
Closest atoms and distances in Å follow each position.
Fractional coordinates of all 12 atoms:
Li 0.5000 0.0000 0.5000  4 Cl 2.42
Li 0.0000 0.0000 0.0000  4 Cl 2.45
Cl 0.7943 0.7432 0.1288  1 Nb 2.39, 1 Li 2.45
Cl 0.7530 0.2043 0.3726  1 Nb 2.39, 1 Li 2.42
Cl 0.7530 0.7957 0.6274  1 Nb 2.39, 1 Li 2.42
Cl 0.2470 0.7957 0.3726  1 Nb 2.39, 1 Li 2.42
Cl 0.2470 0.2043 0.6274  1 Nb 2.39, 1 Li 2.42
Cl 0.2057 0.2568 0.1288  1 Nb 2.39, 1 Li 2.45
Cl 0.7943 0.2568 0.8712  1 Nb 2.39, 1 Li 2.45
Cl 0.2057 0.7432 0.8712  1 Nb 2.39, 1 Li 2.45
Nb 0.0000 0.0000 0.5000  4 Cl 2.39
Nb 0.0000 0.5000 0.0000  4 Cl 2.39

---

Entry from Alexandria: a geometry-optimized LiNbCl4 structure (PBE).

- electronic total energy (eV/atom) = -4.619
- magnetization (μB per atom) = 0.00
- energy above the most stable polymorph in this dataset (eV/atom) = 0.000

Cell lengths 5.7169, 7.8964, 7.8964 Å; angles 57.45, 97.35, 97.35 degrees
Closest atoms and distances in Å follow each position.
Fractional coordinates of all 12 atoms:
Cl 0.0462 0.0637 0.7420  2 Li 2.40-2.44, 1 Nb 2.53
Cl 0.5462 0.7420 0.0637  2 Li 2.40-2.44, 1 Nb 2.53
Cl 0.4538 0.2580 0.9363  2 Li 2.40-2.44, 1 Nb 2.53
Cl 0.4558 0.7401 0.4942  2 Nb 2.44-2.52
Cl 0.0442 0.5058 0.2599  2 Nb 2.44-2.52
Cl 0.5442 0.2599 0.5058  2 Nb 2.44-2.52
Cl 0.9538 0.9363 0.2580  2 Li 2.40-2.44, 1 Nb 2.53
Cl 0.9558 0.4942 0.7401  2 Nb 2.44-2.52
Li 0.7500 0.0758 0.9242  4 Cl 2.40-2.44
Li 0.2500 0.9242 0.0758  4 Cl 2.40-2.44
Nb 0.7500 0.5856 0.4144  6 Cl 2.44-2.53
Nb 0.2500 0.4144 0.5856  6 Cl 2.44-2.53

---

Entry from Alexandria: a geometry-optimized LiNbCl5 structure (PBE).

- electronic total energy (eV/atom) = -4.365
- magnetization (μB per atom) = 0.14

Cell lengths 6.8985, 6.8985, 9.6353 Å; angles 69.57, 69.57, 91.16 degrees
Closest atoms and distances in Å follow each position.
Fractional coordinates of all 14 atoms:
Li 0.6311 0.3689 0.7500  4 Cl 2.37-2.44
Li 0.3689 0.6311 0.2500  4 Cl 2.37-2.44
Nb 0.0000 0.0000 0.5000  6 Cl 2.41-2.48
Nb 0.0000 0.0000 0.0000  6 Cl 2.41-2.48
Cl 0.8023 0.2795 0.5253  1 Li 2.37, 1 Nb 2.42
Cl 0.9399 0.0601 0.2500  2 Nb 2.48
Cl 0.3208 0.2487 0.3497  1 Nb 2.41, 1 Li 2.44
Cl 0.1977 0.7205 0.4747  1 Li 2.37, 1 Nb 2.42
Cl 0.6792 0.7513 0.6503  1 Nb 2.41, 1 Li 2.44
Cl 0.7513 0.6792 0.1503  1 Nb 2.41, 1 Li 2.44
Cl 0.7205 0.1977 0.9747  1 Li 2.37, 1 Nb 2.42
Cl 0.2487 0.3208 0.8497  1 Nb 2.41, 1 Li 2.44
Cl 0.2795 0.8023 0.0253  1 Li 2.37, 1 Nb 2.42
Cl 0.0601 0.9399 0.7500  2 Nb 2.48

---

Entry from Alexandria: a geometry-optimized Li2Nb2Cl2O5 structure (PBE).

- electronic total energy (eV/atom) = -6.966
- magnetization (μB per atom) = 0.00

Cell lengths 3.8930, 3.8930, 12.0856 Å; angles 99.27, 99.27, 90.00 degrees
Closest atoms and distances in Å follow each position.
Fractional coordinates of all 11 atoms:
Li 0.3379 0.3379 0.6759  4 O 2.51
Li 0.6621 0.6621 0.3241  4 O 2.51
Cl 0.1947 0.1947 0.3894  1 Nb 2.65, 4 Li 2.86
Cl 0.8053 0.8053 0.6106  1 Nb 2.65, 4 Li 2.86
Nb 0.0819 0.0819 0.1639  5 O 1.93-1.97
Nb 0.9181 0.9181 0.8361  5 O 1.93-1.97
O 0.0947 0.5947 0.1894  2 Nb 1.97
O 0.5947 0.0947 0.1894  2 Nb 1.97
O 0.0000 0.0000 0.0000  2 Nb 1.93
O 0.9053 0.4053 0.8106  2 Nb 1.97
O 0.4053 0.9053 0.8106  2 Nb 1.97

---

Entry from Alexandria: a geometry-optimized LiNb2Te4Cl10O structure (PBE).

- electronic total energy (eV/atom) = -4.309
- magnetization (μB per atom) = 0.03
- energy above the most stable polymorph in this dataset (eV/atom) = 0.004

Cell lengths 10.9683, 6.7213, 9.1427 Å; angles 80.70, 93.71, 107.66 degrees
Closest atoms and distances in Å follow each position.
Fractional coordinates of all 18 atoms:
Cl 0.3087 0.7093 0.0800  1 Li 2.45, 1 Nb 2.58
Cl 0.5310 0.6545 0.8066  1 Nb 2.37
Cl 0.2082 0.3098 0.3756  1 Nb 2.43
Cl 0.6661 0.1960 0.5611  1 Nb 2.35
Cl 0.5983 0.8624 0.2337  1 Nb 2.41, 1 Li 2.50
Cl 0.3339 0.8040 0.4389  1 Nb 2.35
Cl 0.4017 0.1376 0.7663  1 Nb 2.41, 1 Li 2.50
Cl 0.4690 0.3455 0.1934  1 Nb 2.37
Cl 0.6913 0.2907 0.9200  1 Li 2.45, 1 Nb 2.58
Cl 0.7918 0.6902 0.6244  1 Nb 2.43
Nb 0.4118 0.5800 0.3241  1 O 1.91
Nb 0.5882 0.4200 0.6759  1 O 1.91
Te 0.0373 0.7831 0.9058  2 Te 2.75
Te 0.9627 0.2169 0.0942  2 Te 2.75
Te 0.1442 0.0048 0.1341  2 Te 2.75
Te 0.8558 0.9952 0.8659  2 Te 2.75
O 0.5000 0.5000 0.5000  2 Nb 1.91
Li 0.5000 0.0000 0.0000  4 Cl 2.45-2.50

---

Which formula does entry 12 have?
LiNb2Te4Cl10O

---

Which value of magnetization does entry 6 give?
1.23 μB per atom

---

Among the records above, which one has the lowest electronic total energy?
Li2Nb2Cl2O5